{"formula": "CsTiZnOF5", "functional": "GGA-PBEsol", "state": "relaxed", "cell": [[-3.6160, 3.6552, 5.2339], [3.6160, -3.6552, 5.2339], [3.6160, 3.6552, -5.2339]], "species": ["Cs", "Cs", "Ti", "Ti", "Zn", "Zn", "O", "O", "F", "F", "F", "F", "F", "F", "F", "F", "F", "F"], "frac_coords": [[0.3647, 0.1147, 0.2500], [0.6353, 0.8853, 0.7500], [0.0000, 0.0000, 0.5000], [0.0000, 0.5000, 0.0000], [0.0000, 0.5000, 0.5000], [0.5000, 0.5000, 0.0000], [0.0382, 0.7882, 0.2500], [0.9618, 0.2118, 0.7500], [0.0609, 0.4098, 0.2254], [0.0609, 0.8355, 0.6512], [0.3157, 0.1645, 0.7254], [0.3157, 0.5902, 0.1512], [0.3237, 0.5737, 0.7500], [0.6763, 0.4263, 0.2500], [0.6843, 0.4098, 0.8488], [0.6843, 0.8355, 0.2746], [0.9391, 0.1645, 0.3488], [0.9391, 0.5902, 0.7746]], "space_group": "Imma", "crystal_system": "orthorhombic"}

=====

{"formula": "LiSnSb2Te", "functional": "GGA-PBEsol", "state": "relaxed", "cell": [[5.6114, 0.0000, 0.0000], [0.0000, 5.6114, 0.0000], [0.0000, 0.0000, 5.7520]], "species": ["Li", "Sn", "Sb", "Sb", "Te"], "frac_coords": [[0.0000, 0.0000, 0.0000], [0.5000, 0.5000, 0.5000], [0.0000, 0.5000, 0.5000], [0.5000, 0.0000, 0.5000], [0.5000, 0.5000, 0.0000]], "space_group": "P4/mmm", "crystal_system": "tetragonal"}

=====

{"formula": "Li3Cr5O8", "functional": "GGA-PBEsol", "state": "relaxed", "cell": [[2.9128, 1.6817, 4.7611], [-2.9128, 1.6817, 4.7611], [0.0000, -3.3634, 4.7611]], "species": ["Li", "Li", "Li", "Cr", "Cr", "Cr", "Cr", "Cr", "O", "O", "O", "O", "O", "O", "O", "O"], "frac_coords": [[0.0000, 0.5000, 0.5000], [0.5000, 0.0000, 0.5000], [0.5000, 0.5000, 0.0000], [0.0000, 0.0000, 0.0000], [0.0000, 0.0000, 0.5000], [0.0000, 0.5000, 0.0000], [0.5000, 0.0000, 0.0000], [0.5000, 0.5000, 0.5000], [0.2370, 0.7504, 0.7504], [0.2419, 0.2419, 0.2419], [0.2496, 0.2496, 0.7630], [0.2496, 0.7630, 0.2496], [0.7504, 0.2370, 0.7504], [0.7504, 0.7504, 0.2370], [0.7581, 0.7581, 0.7581], [0.7630, 0.2496, 0.2496]], "space_group": "R-3m", "crystal_system": "trigonal"}

=====

{"formula": "Cs2AlTe3O12", "functional": "GGA-PBEsol", "state": "relaxed", "cell": [[3.6183, 2.0890, 5.6832], [-3.6183, 2.0890, 5.6832], [0.0000, -4.1780, 5.6832]], "species": ["Cs", "Cs", "Al", "Te", "Te", "Te", "O", "O", "O", "O", "O", "O", "O", "O", "O", "O", "O", "O"], "frac_coords": [[0.1302, 0.1302, 0.1302], [0.8698, 0.8698, 0.8698], [0.5000, 0.5000, 0.5000], [0.0000, 0.5000, 0.5000], [0.5000, 0.0000, 0.5000], [0.5000, 0.5000, 0.0000], [0.1739, 0.1739, 0.5688], [0.1739, 0.5688, 0.1739], [0.1854, 0.5672, 0.5672], [0.4312, 0.8261, 0.8261], [0.4328, 0.4328, 0.8146], [0.4328, 0.8146, 0.4328], [0.5672, 0.1854, 0.5672], [0.5672, 0.5672, 0.1854], [0.5688, 0.1739, 0.1739], [0.8146, 0.4328, 0.4328], [0.8261, 0.4312, 0.8261], [0.8261, 0.8261, 0.4312]], "space_group": "R-3m", "crystal_system": "trigonal"}

=====

Calculated formation energy without anion corrections in order - -2.903; 0.484; -1.811; -1.429 eV/atom
Calculated D(E_F) in order - 0.000; 1.121; 0.281; 0.392 states/eV/atom